Material: LiCo2Au
Method: DFT, GGA-PBEsol
State: optimized geometry

Values from the calculation:
**Spin magnetization**: 3.1 μB per formula unit
**E_form**: 0.148 eV per atom

The structure in POSCAR format:
```
LiCo2Au
1.0
2.448 -4.511 0.000
2.448 4.511 0.000
-1.212 0.000 2.270
Li Co Au
1 2 1
Direct
0.000 0.000 0.000 Li
0.000 0.500 0.500 Co
0.500 0.000 0.500 Co
0.500 0.500 0.000 Au
```



Material: Li2CoAu
Method: DFT, GGA-PBEsol
State: optimized geometry

Values from the calculation:
**Spin magnetization**: 1.2 μB per formula unit
**E_form**: -0.020 eV per atom

The structure in POSCAR format:
```
Li2CoAu
1.0
2.755 0.000 0.000
0.000 4.340 0.000
0.000 0.000 4.412
Li Co Au
2 1 1
Direct
0.000 0.000 0.000 Li
0.500 0.000 0.500 Li
0.000 0.500 0.500 Co
0.500 0.500 0.000 Au
```



Material: LiMg2CoAu
Method: DFT, GGA-PBEsol
State: optimized geometry

Values from the calculation:
**Spin magnetization**: 1.6 μB per formula unit
**E_form**: 0.653 eV per atom

The structure in POSCAR format:
```
LiMg2CoAu
1.0
4.530 0.000 0.000
0.000 4.530 0.000
0.000 0.000 4.189
Li Mg Co Au
1 2 1 1
Direct
0.000 0.000 0.000 Li
0.000 0.500 0.000 Mg
0.500 0.000 0.000 Mg
0.500 0.500 0.500 Co
0.000 0.000 0.500 Au
```



Q: spin magnetization of number 2 (Li2CoAu)?
A: 1.2 μB per formula unit



Q: What is the formula in the second record?
A: Li2CoAu